Computed, not measured: an optimized crystal structure of Sm5Ho12Mg2 at the PBE level of DFT.

a b c (Å): 9.210 9.019 8.389
angles (deg): 91.32 90.00 120.70
Sites, in units of the cell vectors:
Ho: 0.557 0.114 0.334
Ho: 0.078 0.155 0.879
Ho: 0.965 0.293 0.240
Ho: 0.328 0.293 0.240
Ho: 0.181 0.746 0.326
Ho: 0.436 0.254 0.674
Ho: 0.564 0.746 0.326
Ho: 0.922 0.845 0.121
Ho: 0.443 0.886 0.666
Ho: 0.672 0.707 0.760
Ho: 0.035 0.707 0.760
Ho: 0.819 0.254 0.674
Sm: 0.233 0.466 0.574
Sm: 0.294 0.589 0.982
Sm: 0.767 0.534 0.426
Sm: 0.000 0.000 0.500
Sm: 0.706 0.411 0.018
Mg: 0.332 0.000 0.000
Mg: 0.668 0.000 0.000

Computed properties:
For the raw total energy, the calculation gives -4.2051 eV/atom. As for the space group: C2/m. As for the density of states at the Fermi level: 27.96 states/eV/cell. The value obtained for the formation enthalpy at 0 K is 0.10 eV per atom.

***

Computed, not measured: an optimized crystal structure of Sm4Ho5Mg2 at the PBE level of DFT.

a b c (Å): 3.496 11.703 14.351
angles (deg): 140.60 95.02 100.85
Sites, in units of the cell vectors:
Ho: 0.428 0.881 0.527
Ho: 0.897 0.754 0.651
Ho: 0.500 0.000 0.000
Ho: 0.572 0.119 0.473
Ho: 0.103 0.246 0.349
Mg: 0.696 0.683 0.214
Mg: 0.304 0.317 0.786
Sm: 0.823 0.240 0.939
Sm: 0.450 0.562 0.737
Sm: 0.550 0.438 0.263
Sm: 0.177 0.760 0.061

Computed properties:
For the raw total energy, the calculation gives -4.0377 eV/atom. As for the space group: P-1. As for the energy above the most stable polymorph in this dataset: 0.000 eV/atom. As for the density of states at the Fermi level: 15.04 states/eV/cell. The value obtained for the formation enthalpy at 0 K is 0.05 eV per atom.